Entry 1:
# HfMn2Pd5, relaxed, DFT PBE-GGA
# total magnetization	8.68	μB per formula unit
# ΔE_f	-40.9	kJ per mole of atoms
# energy	-0.2648	hartree per atom
data_HfMn2Pd5
_chemical_formula_sum 'Hf2 Mn4 Pd10'
_cell_length_a 5.576
_cell_length_b 11.119
_cell_length_c 4.090
_cell_angle_alpha 90.00
_cell_angle_beta 90.00
_cell_angle_gamma 90.00
_symmetry_space_group_name_H-M 'P b a m'
_symmetry_Int_Tables_number 55
_symmetry_space_group_name_Hall '-P 2 2ab'
loop_
_atom_site_label
_atom_site_fract_x
_atom_site_fract_y
_atom_site_fract_z
Hf1 0.000 0.000 0.000
Mn1 0.202 0.361 0.500
Pd1 0.000 0.500 0.000
Pd2 0.045 0.757 0.000
Pd3 0.220 0.116 0.500

=====

Entry 2:
# CoCu2Os, relaxed, DFT PBE-GGA
# total magnetization	2.00	μB per formula unit
# ΔE_f	33.8	kJ per mole of atoms
# energy	-0.2309	hartree per atom
# energy above the lowest structure with this stoichiometry	176	meV/atom
data_CoCu2Os
_chemical_formula_sum 'Co2 Cu4 Os2'
_cell_length_a 2.640
_cell_length_b 4.395
_cell_length_c 8.627
_cell_angle_alpha 90.00
_cell_angle_beta 90.00
_cell_angle_gamma 90.00
_symmetry_space_group_name_H-M 'I m m 2'
_symmetry_Int_Tables_number 44
_symmetry_space_group_name_Hall 'I 2 -2'
loop_
_atom_site_label
_atom_site_fract_x
_atom_site_fract_y
_atom_site_fract_z
Co1 0.000 0.000 0.000
Cu1 0.000 0.000 0.491
Cu2 0.000 0.500 0.746
Os1 0.000 0.500 0.254